This record from the Alexandria database describes a relaxed structure of Li3Bi2P3O12. The functional is PBE.

The energy relative to the lowest polymorph listed for this composition comes out at 0.029 eV/atom. Its electronic total energy is -521.99 eV for the cell shown. The calculation puts the total magnetization at 0.000 μB per formula unit. The formation energy without anion corrections is -2.063 eV per atom. The value obtained for the density of states at the Fermi level is 0.000 states/eV per cell.

The space group is C2/c (No. 15) and the conventional cell measures 14.7968, 9.5761 and 8.7179 Å, with angles of 90.00, 120.75 and 90.00 degrees. The inequivalent atoms are Li at (0.1620, 0.0135, 0.0969), Li at (0.2500, 0.2500, 0.5000), Bi at (0.1046, 0.2684, 0.6767), P at (0.0000, 0.0719, 0.2500), P at (0.1829, 0.4234, 0.0531), O at (0.0635, 0.0209, 0.6922), O at (0.0711, 0.3621, 0.9494), O at (0.0822, 0.1617, 0.4118), O at (0.1847, 0.4143, 0.5746), O at (0.2376, 0.3906, 0.9456) and O at (0.2448, 0.3576, 0.2448).